Here is a geometry-optimized Li2ZnIn2Ag2 structure from Alexandria. Energies are from GGA-PBE.

Unit cell a=7.370 b=7.370 c=7.370 alpha=37.17 beta=37.17 gamma=37.17
Fractional positions:
Li (0.138, 0.138, 0.138)
Li (0.862, 0.862, 0.862)
Zn (0.000, 0.000, 0.000)
In (0.280, 0.280, 0.280)
In (0.720, 0.720, 0.720)
Ag (0.432, 0.432, 0.432)
Ag (0.568, 0.568, 0.568)

SG: R-3m (166)
Formation energy from the elements in kJ/mol of formula units: -88


Here is a geometry-optimized Li2AcRuO4 structure from Alexandria. Energies are from GGA-PBE.

Unit cell a=6.023 b=6.023 c=9.286 alpha=90.00 beta=90.00 gamma=142.41
Fractional positions:
Li (0.107, 0.893, 0.539)
Li (0.107, 0.893, 0.961)
Li (0.893, 0.107, 0.039)
Li (0.893, 0.107, 0.461)
Ac (0.382, 0.618, 0.750)
Ac (0.618, 0.382, 0.250)
Ru (0.342, 0.658, 0.250)
Ru (0.658, 0.342, 0.750)
O (0.115, 0.885, 0.750)
O (0.210, 0.790, 0.113)
O (0.210, 0.790, 0.387)
O (0.500, 0.500, 0.000)
O (0.500, 0.500, 0.500)
O (0.790, 0.210, 0.613)
O (0.790, 0.210, 0.887)
O (0.885, 0.115, 0.250)

SG: Cmcm (63)
Uncorrected formation energy in eV per atom: -1.70


Here is a geometry-optimized PmBe2Rh structure from Alexandria. Energies are from GGA-PBE.

Unit cell a=3.019 b=3.019 c=6.590 alpha=90.00 beta=90.00 gamma=90.00
Fractional positions:
Pm (0.000, 0.000, 0.000)
Be (0.500, 0.500, 0.333)
Be (0.500, 0.500, 0.667)
Rh (0.000, 0.000, 0.500)

SG: P4/mmm (123)
Energy relative to the lowest polymorph listed for this composition in kJ/mol of formula units: 63.5
Formation energy from the elements in kJ/mol of formula units: -98


Here is a geometry-optimized RuC3 structure from Alexandria. Energies are from GGA-PBE.

Unit cell a=3.245 b=3.245 c=3.245 alpha=90.00 beta=90.00 gamma=90.00
Fractional positions:
Ru (0.000, 0.000, 0.000)
C (0.000, 0.500, 0.500)
C (0.500, 0.000, 0.500)
C (0.500, 0.500, 0.000)

SG: Pm-3m (221)
Energy relative to the lowest polymorph listed for this composition in kJ/mol of formula units: 807.7
Formation energy from the elements in kJ/mol of formula units: 1157


Here is a geometry-optimized B2PtF2 structure from Alexandria. Energies are from GGA-PBE.

Unit cell a=5.137 b=5.137 c=5.137 alpha=144.00 beta=144.00 gamma=51.82
Fractional positions:
B (0.094, 0.094, 0.000)
B (0.906, 0.906, 0.000)
Pt (0.500, 0.500, 0.000)
F (0.250, 0.750, 0.500)
F (0.750, 0.250, 0.500)

SG: I4/mmm (139)
Energy relative to the lowest polymorph listed for this composition in kJ/mol of formula units: 277.6
Uncorrected formation energy in eV per atom: 0.32


Here is a geometry-optimized LaDyMgIn structure from Alexandria. Energies are from GGA-PBE.

Unit cell a=5.455 b=5.455 c=5.455 alpha=60.00 beta=60.00 gamma=60.00
Fractional positions:
La (0.000, 0.000, 0.000)
Dy (0.500, 0.500, 0.500)
Mg (0.750, 0.750, 0.750)
In (0.250, 0.250, 0.250)

SG: F-43m (216)
Formation energy from the elements in kJ/mol of formula units: -126


Here is a geometry-optimized CaY2Re structure from Alexandria. Energies are from GGA-PBE.

Unit cell a=7.095 b=7.095 c=7.095 alpha=151.43 beta=138.13 gamma=51.47
Fractional positions:
Ca (0.000, 0.000, 0.000)
Y (0.363, 0.363, 0.000)
Y (0.688, 0.188, 0.500)
Re (0.193, 0.693, 0.500)

SG: Imm2 (44)
Energy relative to the lowest polymorph listed for this composition in kJ/mol of formula units: 83.2
Formation energy from the elements in kJ/mol of formula units: 137


Here is a geometry-optimized LaPrCrN4 structure from Alexandria. Energies are from GGA-PBE.

Unit cell a=5.709 b=5.496 c=7.242 alpha=90.00 beta=107.47 gamma=90.00
Fractional positions:
La (0.213, 0.250, 0.028)
La (0.787, 0.750, 0.972)
Pr (0.270, 0.250, 0.551)
Pr (0.730, 0.750, 0.449)
Cr (0.228, 0.750, 0.785)
Cr (0.772, 0.250, 0.215)
N (0.033, 0.503, 0.727)
N (0.033, 0.997, 0.727)
N (0.376, 0.750, 0.032)
N (0.444, 0.750, 0.657)
N (0.556, 0.250, 0.343)
N (0.624, 0.250, 0.968)
N (0.967, 0.003, 0.273)
N (0.967, 0.497, 0.273)

SG: P2_1/m (11)
Uncorrected formation energy in eV per atom: -1.07


Here is a geometry-optimized MgPt2Se structure from Alexandria. Energies are from GGA-PBE.

Unit cell a=3.006 b=3.722 c=5.932 alpha=90.00 beta=90.00 gamma=90.00
Fractional positions:
Mg (0.000, 0.000, 0.000)
Pt (0.500, 0.500, 0.241)
Pt (0.500, 0.500, 0.759)
Se (0.000, 0.000, 0.500)

SG: Pmmm (47)
Energy relative to the lowest polymorph listed for this composition in kJ/mol of formula units: 16.2
Uncorrected formation energy in eV per atom: -0.30


Here is a geometry-optimized Y2ThPd structure from Alexandria. Energies are from GGA-PBE.

Unit cell a=7.003 b=9.947 c=6.556 alpha=90.00 beta=90.00 gamma=90.00
Fractional positions:
Y (0.187, 0.060, 0.164)
Y (0.187, 0.440, 0.164)
Y (0.313, 0.560, 0.664)
Y (0.313, 0.940, 0.664)
Y (0.687, 0.060, 0.336)
Y (0.687, 0.440, 0.336)
Y (0.813, 0.560, 0.836)
Y (0.813, 0.940, 0.836)
Th (0.025, 0.250, 0.650)
Th (0.475, 0.750, 0.150)
Th (0.525, 0.250, 0.850)
Th (0.975, 0.750, 0.350)
Pd (0.119, 0.750, 0.932)
Pd (0.381, 0.250, 0.432)
Pd (0.619, 0.750, 0.568)
Pd (0.881, 0.250, 0.068)

SG: Pnma (62)
Energy relative to the lowest polymorph listed for this composition in kJ/mol of formula units: 0.0
Formation energy from the elements in kJ/mol of formula units: -157


Here is a geometry-optimized Cd2BiSe2 structure from Alexandria. Energies are from GGA-PBE.

Unit cell a=8.447 b=8.447 c=3.979 alpha=90.00 beta=90.00 gamma=90.00
Fractional positions:
Cd (0.113, 0.387, 0.000)
Cd (0.387, 0.887, 0.000)
Cd (0.613, 0.113, 0.000)
Cd (0.887, 0.613, 0.000)
Bi (0.000, 0.000, 0.500)
Bi (0.500, 0.500, 0.500)
Se (0.232, 0.732, 0.500)
Se (0.268, 0.232, 0.500)
Se (0.732, 0.768, 0.500)
Se (0.768, 0.268, 0.500)

SG: P4/mbm (127)
Energy relative to the lowest polymorph listed for this composition in kJ/mol of formula units: 0.0
Uncorrected formation energy in eV per atom: -0.17


Here is a geometry-optimized ScTl2TeSe4 structure from Alexandria. Energies are from GGA-PBE.

Unit cell a=7.603 b=4.031 c=7.863 alpha=90.00 beta=109.06 gamma=90.00
Fractional positions:
Sc (0.000, 0.000, 0.000)
Tl (0.000, 0.500, 0.500)
Tl (0.500, 0.000, 0.500)
Te (0.500, 0.500, 0.000)
Se (0.200, 0.500, 0.215)
Se (0.254, 0.000, 0.806)
Se (0.746, 0.000, 0.194)
Se (0.800, 0.500, 0.785)

SG: P2/m (10)
Uncorrected formation energy in eV per atom: -0.65


Number 1: V 131.0 Å³ per cell, D(E_F) 0.331 states/eV per atom. Number 2: V 205.4 Å³ per cell, D(E_F) 0.467 states/eV per atom. Number 3: V 60.1 Å³ per cell, D(E_F) 0.484 states/eV per atom. Number 4: V 34.2 Å³ per cell, D(E_F) 0.843 states/eV per atom. Number 5: V 46.6 Å³ per cell, D(E_F) 0.253 states/eV per atom. Number 6: V 114.8 Å³ per cell, D(E_F) 0.842 states/eV per atom. Number 7: V 113.4 Å³ per cell, D(E_F) 1.206 states/eV per atom. Number 8: V 216.8 Å³ per cell, D(E_F) 0.000 states/eV per atom. Number 9: V 66.4 Å³ per cell, D(E_F) 0.800 states/eV per atom. Number 10: V 456.7 Å³ per cell, D(E_F) 1.404 states/eV per atom. Number 11: V 283.9 Å³ per cell, D(E_F) 0.308 states/eV per atom. Number 12: V 227.7 Å³ per cell, D(E_F) 0.352 states/eV per atom.